Rb3Co2CuF9: relaxed, PBE+U.

a b c (Å): 5.913 5.913 7.227
angles (deg): 90.00 90.00 120.00
Last column: magnetic moment on the atom in μB.
Atoms (fractional coordinates):
F 0.830 0.170 0.676  0.07
Co 0.667 0.333 0.833  2.91
F 0.500 0.000 0.000  0.07
F 0.000 0.500 0.000  0.07
Co 0.333 0.667 0.167  2.91
F 0.170 0.341 0.324  0.07
Cu 0.000 0.000 0.500  0.46
F 0.500 0.500 0.000  0.07
Rb 0.667 0.333 0.339  0.00
F 0.170 0.830 0.324  0.07
Rb 0.000 0.000 0.000  0.00
Rb 0.333 0.667 0.661  0.00
F 0.341 0.170 0.676  0.07
F 0.830 0.659 0.676  0.07
F 0.659 0.830 0.324  0.07

Computed properties:
N(E_F) = 7.82 states/eV/f.u.
Energy = -67.2 eV per formula unit
Space-group type = No. 164
Crystal system = trigonal